# 1
# Li2CdPb5

A relaxed Li2CdPb5 crystal (GGA-PBE, the Alexandria database).

Calculated values
Energy of formation from the pure elements in meV/atom: -96
DOS(E_F) in states/eV/cell: 2.8
Density in g/cm³: 8.8

a = 6.7150 Å, b = 6.7149 Å, c = 6.7147 Å
α = 92.41°, β = 120.19°, γ = 117.07°
Closest atoms and distances in Å follow each position.
Sites, in units of the cell vectors:
Li (0.2787, 0.7788, 0.5000)  2 Cd 3.35, 8 Pb 3.35-3.36, 2 Li 3.49-3.52
Li (0.7770, 0.2769, 0.5000)  10 Pb 3.35-3.36, 2 Li 3.49-3.52
Cd (0.7790, 0.7791, 0.0000)  2 Li 3.35, 10 Pb 3.35-3.52
Pb (0.2780, 0.2790, 0.5010)  6 Pb 3.35-3.51, 4 Li 3.35-3.36, 2 Cd 3.35-3.36
Pb (0.2780, 0.7770, 0.9991)  6 Pb 3.35-3.51, 4 Li 3.35-3.36, 2 Cd 3.35-3.36
Pb (0.7779, 0.2790, 0.0009)  6 Pb 3.35-3.51, 4 Li 3.35-3.36, 2 Cd 3.36
Pb (0.7780, 0.7770, 0.4990)  6 Pb 3.35-3.51, 4 Li 3.35-3.36, 2 Cd 3.36
Pb (0.2764, 0.2763, 0.0000)  2 Li 3.35, 8 Pb 3.36, 2 Cd 3.49-3.52

# 2
# Li4CdPb5

A relaxed Li4CdPb5 crystal (GGA-PBE, the Alexandria database).

Calculated values
Energy of formation from the pure elements in meV/atom: -192
DOS(E_F) in states/eV/cell: 3.7
Density in g/cm³: 8.2

a = 3.6885 Å, b = 3.6885 Å, c = 17.5561 Å
α = 90.00°, β = 90.00°, γ = 90.00°
Closest atoms and distances in Å follow each position.
Sites, in units of the cell vectors:
Li (0.0000, 0.0000, 0.2126)  8 Pb 3.08-3.17, 1 Li 3.36
Li (0.0000, 0.0000, 0.4037)  8 Pb 3.11-3.12, 2 Li 3.36-3.38
Li (0.0000, 0.0000, 0.5963)  8 Pb 3.11-3.12, 2 Li 3.36-3.38
Li (0.0000, 0.0000, 0.7874)  8 Pb 3.08-3.17, 1 Li 3.36
Cd (0.0000, 0.0000, 0.0000)  8 Pb 3.24
Pb (0.5000, 0.5000, 0.1098)  4 Li 3.17, 4 Cd 3.24, 1 Pb 3.45
Pb (0.5000, 0.5000, 0.3063)  8 Li 3.08-3.12, 2 Pb 3.40-3.45
Pb (0.5000, 0.5000, 0.5000)  8 Li 3.11, 2 Pb 3.40
Pb (0.5000, 0.5000, 0.6937)  8 Li 3.08-3.12, 2 Pb 3.40-3.45
Pb (0.5000, 0.5000, 0.8902)  4 Li 3.17, 4 Cd 3.24, 1 Pb 3.45

# 3
# Li3Cd6Pb2

A relaxed Li3Cd6Pb2 crystal (GGA-PBE, the Alexandria database).

Calculated values
Energy of formation from the pure elements in meV/atom: -135
DOS(E_F) in states/eV/cell: 3.9
Density in g/cm³: 7.5

a = 4.7689 Å, b = 8.2205 Å, c = 14.5037 Å
α = 45.51°, β = 70.99°, γ = 106.79°
Closest atoms and distances in Å follow each position.
Sites, in units of the cell vectors:
Li (0.0000, 0.0000, 0.0000)  2 Cd 2.83, 2 Pb 3.01
Li (0.6231, 0.9216, 0.3364)  6 Cd 2.85-3.10, 3 Pb 3.05-3.19
Li (0.3769, 0.0784, 0.6636)  6 Cd 2.85-3.10, 3 Pb 3.05-3.19
Cd (0.0958, 0.6054, 0.7048)  5 Cd 2.98-3.29, 4 Li 3.10-3.31, 2 Pb 3.13-3.14
Cd (0.7426, 0.0839, 0.8009)  5 Cd 3.01-3.29, 5 Li 3.06-3.24, 2 Pb 3.27-3.37
Cd (0.9042, 0.3946, 0.2952)  5 Cd 2.98-3.29, 4 Li 3.10-3.31, 2 Pb 3.13-3.14
Cd (0.2574, 0.9161, 0.1991)  5 Cd 3.01-3.29, 5 Li 3.06-3.24, 2 Pb 3.27-3.37
Cd (0.7186, 0.5900, 0.5750)  4 Li 2.83-3.02, 5 Cd 3.03-3.15
Cd (0.2814, 0.4100, 0.4250)  4 Li 2.83-3.02, 5 Cd 3.03-3.15
Pb (0.6029, 0.4455, 0.1216)  4 Li 3.01-3.19, 4 Cd 3.13-3.27
Pb (0.3971, 0.5545, 0.8784)  4 Li 3.01-3.19, 4 Cd 3.13-3.27

# 4
# Li2CdPb3

A relaxed Li2CdPb3 crystal (GGA-PBE, the Alexandria database).

Calculated values
Energy of formation from the pure elements in meV/atom: -152
DOS(E_F) in states/eV/cell: 3.9
Density in g/cm³: 8.4

a = 4.8448 Å, b = 8.7067 Å, c = 8.7067 Å
α = 110.91°, β = 106.84°, γ = 106.84°
Closest atoms and distances in Å follow each position.
Sites, in units of the cell vectors:
Li (0.2500, 0.0897, 0.9103)  8 Pb 3.06-3.16
Li (0.2500, 0.7333, 0.2667)  8 Pb 3.14-3.27, 2 Cd 3.29, 2 Li 3.51
Li (0.7500, 0.9103, 0.0897)  8 Pb 3.06-3.16
Li (0.7500, 0.2667, 0.7333)  8 Pb 3.14-3.27, 2 Cd 3.29, 2 Li 3.51
Cd (0.2500, 0.4216, 0.5784)  8 Pb 3.25-3.40, 2 Li 3.29, 2 Cd 3.31
Cd (0.7500, 0.5784, 0.4216)  8 Pb 3.25-3.40, 2 Li 3.29, 2 Cd 3.31
Pb (0.5239, 0.8598, 0.6882)  5 Li 3.06-3.23, 3 Cd 3.31-3.40, 2 Pb 3.38-3.39
Pb (0.0239, 0.6882, 0.8598)  5 Li 3.06-3.23, 3 Cd 3.31-3.40, 2 Pb 3.38-3.39
Pb (0.5000, 0.5000, 0.0000)  6 Li 3.13-3.27, 2 Cd 3.25, 4 Pb 3.38-3.39
Pb (0.4761, 0.1402, 0.3118)  5 Li 3.06-3.23, 3 Cd 3.31-3.40, 2 Pb 3.38-3.39
Pb (0.0000, 0.0000, 0.5000)  6 Li 3.13-3.27, 2 Cd 3.25, 4 Pb 3.38-3.39
Pb (0.9761, 0.3118, 0.1402)  5 Li 3.06-3.23, 3 Cd 3.31-3.40, 2 Pb 3.38-3.39

# 5
# LiCd2Pb4

A relaxed LiCd2Pb4 crystal (GGA-PBE, the Alexandria database).

Calculated values
Energy of formation from the pure elements in meV/atom: 29
DOS(E_F) in states/eV/cell: 2.0
Density in g/cm³: 8.4

a = 4.5793 Å, b = 5.1423 Å, c = 9.2734 Å
α = 106.10°, β = 90.00°, γ = 90.00°
Closest atoms and distances in Å follow each position.
Sites, in units of the cell vectors:
Li (0.0000, 0.5000, 0.0000)  8 Pb 3.01-3.03
Cd (0.5000, 0.2132, 0.4265)  2 Cd 2.89, 5 Pb 3.16-3.17
Cd (0.5000, 0.7868, 0.5735)  2 Cd 2.89, 5 Pb 3.16-3.17
Pb (0.5000, 0.6096, 0.2192)  2 Li 3.01, 3 Cd 3.16-3.17
Pb (0.0000, 0.9102, 0.8204)  2 Li 3.03, 2 Cd 3.17, 1 Pb 3.20
Pb (0.5000, 0.3904, 0.7808)  2 Li 3.01, 3 Cd 3.16-3.17
Pb (0.0000, 0.0898, 0.1796)  2 Li 3.03, 2 Cd 3.17, 1 Pb 3.20

# 6
# LiCd4Pb

A relaxed LiCd4Pb crystal (GGA-PBE, the Alexandria database).

Calculated values
Energy of formation from the pure elements in meV/atom: -56
DOS(E_F) in states/eV/cell: 2.0
Density in g/cm³: 7.5

a = 5.9130 Å, b = 5.9130 Å, c = 5.9130 Å
α = 60.00°, β = 60.00°, γ = 60.00°
Closest atoms and distances in Å follow each position.
Sites, in units of the cell vectors:
Cd (0.6243, 0.1271, 0.6243)  6 Cd 2.94-2.97
Cd (0.1271, 0.6243, 0.6243)  6 Cd 2.94-2.97
Cd (0.6243, 0.6243, 0.6243)  6 Cd 2.94-2.97
Cd (0.6243, 0.6243, 0.1271)  6 Cd 2.94-2.97
Li (0.2500, 0.2500, 0.2500)  12 Cd 3.47, 4 Pb 3.62
Pb (0.0000, 0.0000, 0.0000)  12 Cd 3.47, 4 Li 3.62

# 7
# Li2Cd5Pb

A relaxed Li2Cd5Pb crystal (GGA-PBE, the Alexandria database).

Calculated values
Energy of formation from the pure elements in meV/atom: -142
DOS(E_F) in states/eV/cell: 4.4
Density in g/cm³: 7.4

a = 4.1597 Å, b = 6.4500 Å, c = 13.0213 Å
α = 90.00°, β = 90.00°, γ = 90.00°
Closest atoms and distances in Å follow each position.
Sites, in units of the cell vectors:
Li (0.5000, 0.2426, 0.6249)  10 Cd 3.03-3.35, 2 Pb 3.07
Li (0.5000, 0.7574, 0.3751)  10 Cd 3.03-3.35, 2 Pb 3.07
Li (0.5000, 0.2574, 0.1249)  10 Cd 3.03-3.35, 2 Pb 3.07
Li (0.5000, 0.7426, 0.8751)  10 Cd 3.03-3.35, 2 Pb 3.07
Cd (0.0000, 0.0000, 0.0000)  6 Cd 3.09-3.19, 4 Li 3.12, 2 Pb 3.23
Cd (0.0000, 0.5000, 0.5000)  6 Cd 3.09-3.19, 4 Li 3.12, 2 Pb 3.23
Cd (0.0000, 0.4827, 0.7449)  7 Cd 3.01-3.23, 4 Li 3.03-3.16, 1 Pb 3.32
Cd (0.0000, 0.5173, 0.2551)  7 Cd 3.01-3.23, 4 Li 3.03-3.16, 1 Pb 3.32
Cd (0.0000, 0.0173, 0.2449)  7 Cd 3.01-3.23, 4 Li 3.03-3.16, 1 Pb 3.32
Cd (0.0000, 0.9827, 0.7551)  7 Cd 3.01-3.23, 4 Li 3.03-3.16, 1 Pb 3.32
Cd (0.5000, 0.2323, 0.8681)  6 Cd 3.01-3.09, 4 Li 3.16-3.35, 2 Pb 3.20
Cd (0.5000, 0.7677, 0.1319)  6 Cd 3.01-3.09, 4 Li 3.16-3.35, 2 Pb 3.20
Cd (0.5000, 0.2677, 0.3681)  6 Cd 3.01-3.09, 4 Li 3.16-3.35, 2 Pb 3.20
Cd (0.5000, 0.7323, 0.6319)  6 Cd 3.01-3.09, 4 Li 3.16-3.35, 2 Pb 3.20
Pb (0.0000, 0.0000, 0.5000)  4 Li 3.07, 8 Cd 3.20-3.32
Pb (0.0000, 0.5000, 0.0000)  4 Li 3.07, 8 Cd 3.20-3.32

# 8
# LiCd6Pb

A relaxed LiCd6Pb crystal (GGA-PBE, the Alexandria database).

Calculated values
Energy of formation from the pure elements in meV/atom: -52
DOS(E_F) in states/eV/cell: 4.5
Density in g/cm³: 8.0

a = 4.5488 Å, b = 4.5488 Å, c = 8.9510 Å
α = 90.00°, β = 90.00°, γ = 90.00°
Closest atoms and distances in Å follow each position.
Sites, in units of the cell vectors:
Li (0.0000, 0.0000, 0.5000)  12 Cd 3.04-3.22
Cd (0.5000, 0.5000, 0.0000)  4 Pb 3.22, 8 Cd 3.35
Cd (0.5000, 0.5000, 0.5000)  8 Cd 3.04, 4 Li 3.22
Cd (0.5000, 0.0000, 0.2750)  8 Cd 3.04-3.35, 2 Li 3.04, 2 Pb 3.35
Cd (0.5000, 0.0000, 0.7250)  8 Cd 3.04-3.35, 2 Li 3.04, 2 Pb 3.35
Cd (0.0000, 0.5000, 0.2750)  8 Cd 3.04-3.35, 2 Li 3.04, 2 Pb 3.35
Cd (0.0000, 0.5000, 0.7250)  8 Cd 3.04-3.35, 2 Li 3.04, 2 Pb 3.35
Pb (0.0000, 0.0000, 0.0000)  12 Cd 3.22-3.35

# 9
# LiCdPb6

A relaxed LiCdPb6 crystal (GGA-PBE, the Alexandria database).

Calculated values
Energy of formation from the pure elements in meV/atom: -35
DOS(E_F) in states/eV/cell: 3.3
Density in g/cm³: 9.7

a = 4.7025 Å, b = 7.0331 Å, c = 7.0331 Å
α = 90.06°, β = 90.00°, γ = 90.00°
Closest atoms and distances in Å follow each position.
Sites, in units of the cell vectors:
Li (0.5000, 0.0000, 0.0000)  12 Pb 3.44-3.52
Cd (0.5000, 0.5000, 0.5000)  12 Pb 3.40-3.52
Pb (0.0000, 0.7468, 0.2532)  2 Cd 3.40, 8 Pb 3.42-3.56, 2 Li 3.45
Pb (0.0000, 0.2532, 0.7468)  2 Cd 3.40, 8 Pb 3.42-3.56, 2 Li 3.45
Pb (0.0000, 0.7468, 0.7468)  2 Cd 3.40, 8 Pb 3.42-3.56, 2 Li 3.44
Pb (0.0000, 0.2532, 0.2532)  2 Cd 3.40, 8 Pb 3.42-3.56, 2 Li 3.44
Pb (0.5000, 0.5000, 0.0000)  8 Pb 3.42, 2 Li 3.52, 2 Cd 3.52
Pb (0.5000, 0.0000, 0.5000)  8 Pb 3.42, 2 Cd 3.52, 2 Li 3.52

# 10
# Li5Cd2Pb6

A relaxed Li5Cd2Pb6 crystal (GGA-PBE, the Alexandria database).

Calculated values
Energy of formation from the pure elements in meV/atom: -165
DOS(E_F) in states/eV/cell: 8.0
Density in g/cm³: 7.9

a = 3.5200 Å, b = 9.4914 Å, c = 18.8746 Å
α = 90.00°, β = 90.00°, γ = 90.00°
Closest atoms and distances in Å follow each position.
Sites, in units of the cell vectors:
Li (0.5000, 0.3365, 0.4905)  7 Pb 2.96-3.18, 2 Li 3.12-3.20
Li (0.5000, 0.6635, 0.5095)  7 Pb 2.96-3.18, 2 Li 3.12-3.20
Li (0.5000, 0.8365, 0.0095)  7 Pb 2.96-3.18, 2 Li 3.12-3.20
Li (0.5000, 0.1635, 0.9905)  7 Pb 2.96-3.18, 2 Li 3.12-3.20
Li (0.5000, 0.5835, 0.2489)  4 Cd 2.96, 4 Pb 3.19-3.25
Li (0.5000, 0.4165, 0.7511)  4 Cd 2.96, 4 Pb 3.19-3.25
Li (0.5000, 0.0835, 0.2511)  4 Cd 2.96, 4 Pb 3.19-3.25
Li (0.5000, 0.9165, 0.7489)  4 Cd 2.96, 4 Pb 3.19-3.25
Li (0.5000, 0.5000, 0.0000)  6 Pb 2.87-3.07, 2 Li 3.20
Li (0.5000, 0.0000, 0.5000)  6 Pb 2.87-3.07, 2 Li 3.20
Cd (0.0000, 0.3337, 0.2585)  4 Li 2.96, 4 Pb 3.03-3.08
Cd (0.0000, 0.6663, 0.7415)  4 Li 2.96, 4 Pb 3.03-3.08
Cd (0.0000, 0.8337, 0.2415)  4 Li 2.96, 4 Pb 3.03-3.08
Cd (0.0000, 0.1663, 0.7585)  4 Li 2.96, 4 Pb 3.03-3.08
Pb (0.0000, 0.1464, 0.3887)  1 Cd 3.03, 6 Li 3.07-3.19
Pb (0.0000, 0.8536, 0.6113)  1 Cd 3.03, 6 Li 3.07-3.19
Pb (0.0000, 0.6464, 0.1113)  1 Cd 3.03, 6 Li 3.07-3.19
Pb (0.0000, 0.3536, 0.8887)  1 Cd 3.03, 6 Li 3.07-3.19
Pb (0.5000, 0.3265, 0.1245)  2 Li 2.87-2.96, 2 Cd 3.08
Pb (0.5000, 0.6735, 0.8755)  2 Li 2.87-2.96, 2 Cd 3.08
Pb (0.5000, 0.8265, 0.3755)  2 Li 2.87-2.96, 2 Cd 3.08
Pb (0.5000, 0.1735, 0.6245)  2 Li 2.87-2.96, 2 Cd 3.08
Pb (0.0000, 0.5175, 0.3900)  1 Cd 3.03, 6 Li 3.11-3.25
Pb (0.0000, 0.4825, 0.6100)  1 Cd 3.03, 6 Li 3.11-3.25
Pb (0.0000, 0.0175, 0.1100)  1 Cd 3.03, 6 Li 3.11-3.25
Pb (0.0000, 0.9825, 0.8900)  1 Cd 3.03, 6 Li 3.11-3.25

Q: The lowest density belongs to which entry?
A: Li2Cd5Pb

Q: What is the energy of formation from the pure elements in the seventh record?
A: -142 meV/atom